(1)
Here is a relaxed Zn2SiCl crystal from Alexandria via LeMat-Bulk. Energies are from PBE-GGA.

Calculated values
SG = R3m
Offset from the most stable computed form = 177 meV per atom
Energy relative to the elements, uncorrected = 2.342 kcal/mol of atoms

Unit cell a=9.7408 b=9.7408 c=9.7408 alpha=18.42 beta=18.42 gamma=18.42
With the nearest neighbours (Å) after each atom.
Fractional positions:
Cl  0.5290  0.5290  0.5290  3 Zn 2.42
Si  0.7300  0.7300  0.7300  3 Zn 2.79, 6 Si 3.12
Zn  0.9892  0.9892  0.9892  3 Zn 2.72, 3 Si 2.79
Zn  0.2518  0.2518  0.2518  3 Cl 2.42

(2)
Here is a relaxed Zn2SiCl crystal from Alexandria via LeMat-Bulk. Energies are from PBE-GGA.

Calculated values
SG = Cmm2
Offset from the most stable computed form = 229 meV per atom
Energy relative to the elements, uncorrected = 3.539 kcal/mol of atoms

Unit cell a=3.0703 b=3.0703 c=9.5188 alpha=90.00 beta=90.00 gamma=115.48
With the nearest neighbours (Å) after each atom.
Fractional positions:
Cl  0.0000  0.0000  0.4202  2 Zn 2.35
Si  0.5000  0.5000  0.8093  2 Zn 2.64
Zn  0.0000  0.0000  0.0266  2 Zn 2.64, 2 Si 2.64
Zn  0.5000  0.5000  0.2439  2 Cl 2.35

(3)
Here is a relaxed Zn2SiCl crystal from Alexandria via LeMat-Bulk. Energies are from PBE-GGA.

Calculated values
SG = P2/m
Offset from the most stable computed form = 266 meV per atom
Energy relative to the elements, uncorrected = 4.385 kcal/mol of atoms

Unit cell a=5.4789 b=2.8784 c=5.3248 alpha=62.87 beta=90.00 gamma=90.00
With the nearest neighbours (Å) after each atom.
Fractional positions:
Cl  0.5000  0.2500  0.2500  2 Si 2.38
Si  0.5000  0.7500  0.7500  2 Cl 2.38
Zn  0.0000  0.7418  0.9999  6 Zn 2.64-2.92
Zn  0.0000  0.7582  0.5001  6 Zn 2.64-2.92

(4)
Here is a relaxed Zn3SiCl crystal from Alexandria via LeMat-Bulk. Energies are from PBE-GGA.

Calculated values
SG = Pm-3m
Offset from the most stable computed form = 819 meV per atom
Energy relative to the elements, uncorrected = 19.060 kcal/mol of atoms

Unit cell a=4.8603 b=4.8603 c=4.8603 alpha=90.00 beta=90.00 gamma=90.00
With the nearest neighbours (Å) after each atom.
Fractional positions:
Zn  0.0000  0.5000  0.0000  2 Cl 2.43
Zn  0.0000  0.0000  0.5000  2 Cl 2.43
Zn  0.5000  0.0000  0.0000  2 Cl 2.43
Si  0.5000  0.5000  0.5000  12 Zn 3.44
Cl  0.0000  0.0000  0.0000  6 Zn 2.43

(5)
Here is a relaxed Zn2SiCl crystal from Alexandria via LeMat-Bulk. Energies are from PBE-GGA.

Calculated values
SG = Cm
Offset from the most stable computed form = 0 meV per atom
Energy relative to the elements, uncorrected = -1.738 kcal/mol of atoms

Unit cell a=7.0586 b=7.0586 c=3.9411 alpha=83.27 beta=83.27 gamma=25.75
With the nearest neighbours (Å) after each atom.
Fractional positions:
Cl  0.4492  0.4492  0.2829  3 Zn 2.45-2.57
Si  0.7155  0.7155  0.8530  6 Zn 2.53-2.60
Zn  0.0739  0.0739  0.0283  2 Cl 2.45, 2 Si 2.53
Zn  0.2614  0.2614  0.3358  1 Cl 2.57, 4 Si 2.59-2.60

(6)
Here is a relaxed ZnSiCl crystal from Alexandria via LeMat-Bulk. Energies are from PBE-GGA.

Calculated values
SG = Imm2
Offset from the most stable computed form = 0 meV per atom
Energy relative to the elements, uncorrected = -2.751 kcal/mol of atoms

Unit cell a=5.8897 b=5.8897 c=5.8897 alpha=148.20 beta=140.26 gamma=51.77
With the nearest neighbours (Å) after each atom.
Fractional positions:
Cl  0.0190  0.0190  0.0000  1 Si 2.17
Si  0.2235  0.2235  0.0000  1 Cl 2.17
Zn  0.7575  0.7575  0.0000  4 Si 2.60, 1 Cl 2.77

(7)
Here is a relaxed ZnSi3Cl crystal from Alexandria via LeMat-Bulk. Energies are from PBE-GGA.

Calculated values
SG = Pm-3m
Offset from the most stable computed form = 275 meV per atom
Energy relative to the elements, uncorrected = 28.042 kcal/mol of atoms

Unit cell a=4.7504 b=4.7504 c=4.7504 alpha=90.00 beta=90.00 gamma=90.00
With the nearest neighbours (Å) after each atom.
Fractional positions:
Zn  0.5000  0.5000  0.5000  12 Si 3.36
Si  0.0000  0.5000  0.0000  2 Cl 2.38
Si  0.0000  0.0000  0.5000  2 Cl 2.38
Si  0.5000  0.0000  0.0000  2 Cl 2.38
Cl  0.0000  0.0000  0.0000  6 Si 2.38

(8)
Here is a relaxed Zn2SiCl crystal from Alexandria via LeMat-Bulk. Energies are from PBE-GGA.

Calculated values
SG = Pmmm
Offset from the most stable computed form = 341 meV per atom
Energy relative to the elements, uncorrected = 6.122 kcal/mol of atoms

Unit cell a=2.8807 b=4.6558 c=5.4461 alpha=90.00 beta=90.00 gamma=90.00
With the nearest neighbours (Å) after each atom.
Fractional positions:
Cl  0.5000  0.0000  0.5000  4 Si 2.74, 2 Cl 2.88
Si  0.0000  0.5000  0.5000  4 Cl 2.74, 2 Si 2.88
Zn  0.0000  0.0000  0.0000  6 Zn 2.74-2.88
Zn  0.5000  0.5000  0.0000  6 Zn 2.74-2.88

(9)
Here is a relaxed ZnSi3Cl crystal from Alexandria via LeMat-Bulk. Energies are from PBE-GGA.

Calculated values
SG = Pm-3m
Offset from the most stable computed form = 0 meV per atom
Energy relative to the elements, uncorrected = 21.698 kcal/mol of atoms

Unit cell a=4.7988 b=4.7988 c=4.7988 alpha=90.00 beta=90.00 gamma=90.00
With the nearest neighbours (Å) after each atom.
Fractional positions:
Zn  0.0000  0.0000  0.0000  6 Si 2.40
Si  0.0000  0.5000  0.0000  2 Zn 2.40
Si  0.0000  0.0000  0.5000  2 Zn 2.40
Si  0.5000  0.0000  0.0000  2 Zn 2.40
Cl  0.5000  0.5000  0.5000  12 Si 3.39

(10)
Here is a relaxed ZnSiCl crystal from Alexandria via LeMat-Bulk. Energies are from PBE-GGA.

Calculated values
SG = F-43m
Offset from the most stable computed form = 594 meV per atom
Energy relative to the elements, uncorrected = 10.952 kcal/mol of atoms

Unit cell a=4.6043 b=4.6043 c=4.6043 alpha=60.00 beta=60.00 gamma=60.00
With the nearest neighbours (Å) after each atom.
Fractional positions:
Cl  0.5000  0.5000  0.5000  4 Si 2.82
Si  0.7500  0.7500  0.7500  4 Cl 2.82, 4 Zn 2.82
Zn  0.0000  0.0000  0.0000  4 Si 2.82

(11)
Here is a relaxed ZrSiCl2 crystal from Alexandria via LeMat-Bulk. Energies are from PBE-GGA.

Calculated values
SG = R3m
Offset from the most stable computed form = 128 meV per atom
Energy relative to the elements, uncorrected = -16.931 kcal/mol of atoms

Unit cell a=9.6106 b=9.6106 c=9.6106 alpha=19.59 beta=19.59 gamma=19.59
With the nearest neighbours (Å) after each atom.
Fractional positions:
Cl  0.0255  0.0255  0.0255  3 Zr 2.61
Cl  0.2243  0.2243  0.2243  3 Si 2.60
Si  0.4945  0.4945  0.4945  3 Cl 2.60, 3 Zr 2.78
Zr  0.7557  0.7557  0.7557  3 Cl 2.61, 3 Si 2.78

(12)
Here is a relaxed ZrSiCl crystal from Alexandria via LeMat-Bulk. Energies are from PBE-GGA.

Calculated values
SG = Fmm2
Energy relative to the elements, uncorrected = -11.149 kcal/mol of atoms

Unit cell a=7.2136 b=7.2124 c=3.0885 alpha=77.66 beta=77.62 gamma=24.72
With the nearest neighbours (Å) after each atom.
Fractional positions:
Cl  0.0389  0.0389  0.9611  4 Zr 2.77, 4 Cl 3.09
Si  0.2981  0.2981  0.7019  4 Zr 2.86-2.87, 4 Si 3.09
Zr  0.6631  0.6631  0.3369  4 Cl 2.77, 4 Si 2.86-2.87, 4 Zr 3.09

(13)
Here is a relaxed ZrSiCl2 crystal from Alexandria via LeMat-Bulk. Energies are from PBE-GGA.

Calculated values
SG = R-3m
Offset from the most stable computed form = 250 meV per atom
Energy relative to the elements, uncorrected = -14.114 kcal/mol of atoms

Unit cell a=11.5624 b=11.5624 c=11.5624 alpha=15.88 beta=15.88 gamma=15.88
With the nearest neighbours (Å) after each atom.
Fractional positions:
Si  0.0000  0.0000  0.0000  6 Si 3.19
Zr  0.5000  0.5000  0.5000  6 Cl 2.62
Cl  0.8875  0.8875  0.8875  3 Zr 2.62
Cl  0.1125  0.1125  0.1125  3 Zr 2.62

(14)
Here is a relaxed ZrSi2Cl crystal from Alexandria via LeMat-Bulk. Energies are from PBE-GGA.

Calculated values
SG = Pmmm
Offset from the most stable computed form = 227 meV per atom
Energy relative to the elements, uncorrected = -4.171 kcal/mol of atoms

Unit cell a=4.6433 b=3.0281 c=5.9327 alpha=59.31 beta=90.00 gamma=90.00
With the nearest neighbours (Å) after each atom.
Fractional positions:
Cl  0.5000  0.7500  0.7500  2 Zr 2.55
Si  0.0000  0.9866  0.0132  2 Si 2.42-2.69
Si  0.0000  0.5134  0.4868  2 Si 2.42-2.69
Zr  0.5000  0.2500  0.2500  2 Cl 2.55

(15)
Here is a relaxed Zr2SiCl crystal from Alexandria via LeMat-Bulk. Energies are from PBE-GGA.

Calculated values
SG = P4mm
Offset from the most stable computed form = 138 meV per atom
Energy relative to the elements, uncorrected = -13.486 kcal/mol of atoms

Unit cell a=3.7761 b=3.7789 c=5.3826 alpha=90.00 beta=90.00 gamma=90.00
With the nearest neighbours (Å) after each atom.
Fractional positions:
Cl  0.0000  0.0000  0.3817  6 Zr 2.65-2.73
Si  0.5000  0.5000  0.8665  6 Zr 2.67-2.71
Zr  0.0000  0.0000  0.8886  2 Cl 2.65-2.73, 4 Si 2.67
Zr  0.5000  0.5000  0.3632  4 Cl 2.67, 2 Si 2.67-2.71